Entry 1:
The following is a PBE calculation of a relaxed structure of MnZn4As, from Alexandria via LeMat-Bulk.

- symmetry = F-43m
- total DFT energy (no corrections) (eV/cell) = -17.58
- formation energy from the elements (eV/atom) = 0.22

Cell lengths 5.1259, 5.1259, 5.1259 Å; angles 60.00, 60.00, 60.00 degrees
Closest atoms and distances in Å follow each position.
Atoms (fractional coordinates):
Mn 0.0000 0.0000 0.0000  12 Zn 3.00, 4 As 3.14
Zn 0.1227 0.6258 0.6258  6 Zn 2.55-2.58
Zn 0.6258 0.1227 0.6258  6 Zn 2.55-2.58
Zn 0.6258 0.6258 0.1227  6 Zn 2.55-2.58
Zn 0.6258 0.6258 0.6258  6 Zn 2.55-2.58
As 0.2500 0.2500 0.2500  12 Zn 3.01, 4 Mn 3.14

=====

Entry 2:
The following is a PBE calculation of a relaxed structure of NdReO4F, from Alexandria via LeMat-Bulk.

- symmetry = C2/m
- total DFT energy (no corrections) (eV/cell) = -112.21
- E_form (uncorrected) (kJ/mol of formula units) = -1658

Cell lengths 6.2150, 6.2150, 7.1630 Å; angles 103.16, 103.16, 72.61 degrees
Closest atoms and distances in Å follow each position.
Atoms (fractional coordinates):
Nd 0.2008 0.2008 0.0929  2 F 2.30-2.33, 6 O 2.42-2.54
Nd 0.7992 0.7992 0.9071  2 F 2.30-2.33, 6 O 2.42-2.54
Re 0.3544 0.3544 0.7073  4 O 1.75-1.85
Re 0.6456 0.6456 0.2927  4 O 1.75-1.85
O 0.1177 0.4679 0.8497  1 Re 1.85
O 0.2594 0.2594 0.4605  1 Re 1.75
O 0.4632 0.4632 0.2366  1 Re 1.76
O 0.4679 0.1177 0.8497  1 Re 1.85
O 0.5321 0.8823 0.1503  1 Re 1.85
O 0.5368 0.5368 0.7634  1 Re 1.76
O 0.7406 0.7406 0.5395  1 Re 1.75
O 0.8823 0.5321 0.1503  1 Re 1.85
F 0.0086 0.0086 0.8249  2 Nd 2.30-2.33, 1 F 2.56
F 0.9914 0.9914 0.1751  2 Nd 2.30-2.33, 1 F 2.56

=====

Entry 3:
The following is a PBE calculation of a relaxed structure of SmHoEr2N4, from Alexandria via LeMat-Bulk.

- symmetry = P2/m
- total DFT energy (no corrections) (eV/cell) = -65.19
- E_form (uncorrected) (kJ/mol of formula units) = -1300

Cell lengths 6.0174, 3.4748, 6.0181 Å; angles 90.00, 109.44, 90.00 degrees
Closest atoms and distances in Å follow each position.
Atoms (fractional coordinates):
Sm 0.0000 0.0000 0.0000  6 N 2.49
Ho 0.5000 0.5000 0.0000  6 N 2.46
Er 0.0000 0.5000 0.5000  6 N 2.45
Er 0.5000 0.0000 0.5000  6 N 2.42-2.43
N 0.2524 0.0000 0.7459  3 Er 2.42-2.45, 2 Ho 2.46, 1 Sm 2.49
N 0.2562 0.5000 0.2571  3 Er 2.43-2.45, 1 Ho 2.46, 2 Sm 2.49
N 0.7438 0.5000 0.7429  3 Er 2.43-2.45, 1 Ho 2.46, 2 Sm 2.49
N 0.7476 0.0000 0.2541  3 Er 2.42-2.45, 2 Ho 2.46, 1 Sm 2.49

=====

Entry 4:
The following is a PBE calculation of a relaxed structure of Li4AsBr, from Alexandria via LeMat-Bulk.

- symmetry = F-43m
- total DFT energy (no corrections) (eV/cell) = -15.12
- E_form (uncorrected) (kJ/mol of formula units) = -111

Cell lengths 5.3476, 5.3476, 5.3476 Å; angles 60.00, 60.00, 60.00 degrees
Closest atoms and distances in Å follow each position.
Atoms (fractional coordinates):
Li 0.1215 0.1215 0.1215  6 Li 2.60-2.75
Li 0.1215 0.1215 0.6355  6 Li 2.60-2.75
Li 0.1215 0.6355 0.1215  6 Li 2.60-2.75
Li 0.6355 0.1215 0.1215  6 Li 2.60-2.75
As 0.7500 0.7500 0.7500  12 Li 3.13, 4 Br 3.27
Br 0.5000 0.5000 0.5000  12 Li 3.14, 4 As 3.27

=====

Entry 5:
The following is a PBE calculation of a relaxed structure of LiAc2GaAg6, from Alexandria via LeMat-Bulk.

- symmetry = P-1
- total DFT energy (no corrections) (eV/cell) = -31.73
- formation energy from the elements (eV/atom) = -0.15

Cell lengths 6.7498, 6.7580, 7.1206 Å; angles 61.79, 61.78, 60.08 degrees
Closest atoms and distances in Å follow each position.
Atoms (fractional coordinates):
Li 0.0000 0.0000 0.0000  6 Ag 2.42
Ac 0.2189 0.2166 0.3458  12 Ag 3.48-3.67
Ac 0.7811 0.7834 0.6542  12 Ag 3.48-3.67
Ga 0.5000 0.5000 0.5000  6 Ag 2.61-2.62
Ag 0.2438 0.2449 0.8340  1 Li 2.42, 1 Ga 2.61
Ag 0.2440 0.6754 0.8364  1 Li 2.42, 1 Ga 2.62
Ag 0.3235 0.7556 0.1652  1 Li 2.42, 1 Ga 2.61
Ag 0.6765 0.2444 0.8348  1 Li 2.42, 1 Ga 2.61
Ag 0.7560 0.3246 0.1636  1 Li 2.42, 1 Ga 2.62
Ag 0.7562 0.7551 0.1660  1 Li 2.42, 1 Ga 2.61

=====

Entry 6:
The following is a PBE calculation of a relaxed structure of RbBiPS2, from Alexandria via LeMat-Bulk.

- symmetry = P4/mmm
- total DFT energy (no corrections) (eV/cell) = -11.45
- E_form (uncorrected) (kJ/mol of formula units) = 681
- distance to the lowest polymorph of the same formula (eV per atom) = 1.282

Cell lengths 5.3888, 5.3888, 5.3581 Å; angles 90.00, 90.00, 90.00 degrees
Closest atoms and distances in Å follow each position.
Atoms (fractional coordinates):
Rb 0.0000 0.0000 0.0000  2 P 2.68, 4 S 2.69
Bi 0.5000 0.5000 0.5000  8 S 3.80, 4 P 3.81
P 0.0000 0.0000 0.5000  2 Rb 2.68
S 0.0000 0.5000 0.0000  2 Rb 2.69
S 0.5000 0.0000 0.0000  2 Rb 2.69

=====

Entry 7:
The following is a PBE calculation of a relaxed structure of CuNi2Te, from Alexandria via LeMat-Bulk.

- symmetry = R3m
- total DFT energy (no corrections) (eV/cell) = -55.29
- E_form (uncorrected) (kJ/mol of formula units) = 36

Cell lengths 4.0593, 4.0593, 12.7637 Å; angles 90.00, 90.00, 120.00 degrees
Closest atoms and distances in Å follow each position.
Atoms (fractional coordinates):
Cu 0.0000 0.0000 0.0000  4 Ni 2.51-2.59, 1 Te 2.65
Cu 0.3333 0.6667 0.6667  4 Ni 2.51-2.59, 1 Te 2.65
Cu 0.6667 0.3333 0.3333  4 Ni 2.51-2.59, 1 Te 2.65
Ni 0.0000 0.0000 0.4043  3 Ni 2.46, 1 Te 2.51, 3 Cu 2.51
Ni 0.0000 0.0000 0.7969  3 Ni 2.46, 3 Te 2.54, 1 Cu 2.59
Ni 0.3333 0.6667 0.0710  3 Ni 2.46, 1 Te 2.51, 3 Cu 2.51
Ni 0.3333 0.6667 0.4636  3 Ni 2.46, 3 Te 2.54, 1 Cu 2.59
Ni 0.6667 0.3333 0.1303  3 Ni 2.46, 3 Te 2.54, 1 Cu 2.59
Ni 0.6667 0.3333 0.7376  3 Ni 2.46, 1 Te 2.51, 3 Cu 2.51
Te 0.0000 0.0000 0.2078  4 Ni 2.51-2.54, 1 Cu 2.65
Te 0.3333 0.6667 0.8745  4 Ni 2.51-2.54, 1 Cu 2.65
Te 0.6667 0.3333 0.5411  4 Ni 2.51-2.54, 1 Cu 2.65

=====

Entry 8:
The following is a PBE calculation of a relaxed structure of Na2Ti2CrSe6, from Alexandria via LeMat-Bulk.

- symmetry = C2/m
- total DFT energy (no corrections) (eV/cell) = -60.32
- E_form (uncorrected) (kJ/mol of formula units) = -1096

Cell lengths 6.3109, 6.3109, 7.5337 Å; angles 98.16, 98.16, 120.05 degrees
Closest atoms and distances in Å follow each position.
Atoms (fractional coordinates):
Na 0.1674 0.8326 0.0000  6 Se 2.98-3.00
Na 0.8326 0.1674 0.0000  6 Se 2.98-3.00
Ti 0.3321 0.6679 0.5000  6 Se 2.59-2.60
Ti 0.6679 0.3321 0.5000  6 Se 2.59-2.60
Cr 0.0000 0.0000 0.5000  6 Se 2.55-2.56
Se 0.0722 0.3981 0.7073  1 Cr 2.55, 2 Ti 2.59-2.60
Se 0.2592 0.2592 0.2938  1 Cr 2.56, 2 Ti 2.60
Se 0.3981 0.0722 0.7073  1 Cr 2.55, 2 Ti 2.59-2.60
Se 0.6019 0.9278 0.2927  1 Cr 2.55, 2 Ti 2.59-2.60
Se 0.7408 0.7408 0.7062  1 Cr 2.56, 2 Ti 2.60
Se 0.9278 0.6019 0.2927  1 Cr 2.55, 2 Ti 2.59-2.60